Here is an optimized crystal structure of DyPClO4 from Alexandria via LeMat-Bulk. Energies are from GGA-PBE.

The structure in CIF format:
```
data_DyPClO4
_chemical_formula_sum 'Dy2 P2 Cl2 O8'
_symmetry_space_group_name_H-M 'P 1'
_symmetry_Int_Tables_number 1
_symmetry_space_group_name_Hall 'P 1'
_cell_length_a 6.258
_cell_length_b 6.258
_cell_length_c 6.578
_cell_angle_alpha 99.16
_cell_angle_beta 99.16
_cell_angle_gamma 62.33
loop_
_atom_site_label
_atom_site_fract_x
_atom_site_fract_y
_atom_site_fract_z
_atom_site_occupancy
Dy1 0.205 0.205 0.335 1
Dy2 0.795 0.795 0.665 1
P1 0.146 0.146 0.775 1
P2 0.854 0.854 0.225 1
Cl1 0.470 0.470 0.634 1
Cl2 0.530 0.530 0.366 1
O1 0.001 0.001 0.746 1
O2 0.006 0.380 0.655 1
O3 0.209 0.209 0.003 1
O4 0.380 0.006 0.655 1
O5 0.620 0.994 0.345 1
O6 0.791 0.791 0.997 1
O7 0.994 0.620 0.345 1
O8 0.999 0.999 0.254 1
```

Values from the calculation:
- Density of states at the Fermi level: 0.0 states/eV per cell
- ΔE_f (raw): -2.478 eV/atom
- Space-group type: No. 12
- Crystal system: monoclinic
- Total moment: 0.00 μB per atom
- Calculated volume: 224.1 Å³ per cell